This record from Alexandria via LeMat-Bulk describes a relaxed structure of Ho8Al2Cd. The functional is PBE.

Geometry as POSCAR:
```
Ho8Al2Cd
1.0
4.7792 0.0000 -1.4512
-1.0268 7.6036 -3.3816
0.0252 -0.7601 8.6782
Ho Al Cd
8 2 1
direct
0.6597 0.8734 0.3194
0.3403 0.5539 0.6806
0.1443 0.1443 0.2886
0.0000 0.3145 0.0000
0.8557 0.8557 0.7114
0.6597 0.4461 0.3194
0.3403 0.1266 0.6806
0.0000 0.6855 0.0000
0.1952 0.6952 0.3904
0.8048 0.3048 0.6096
0.5000 0.0000 0.0000
```

Properties
DOS(E_F) = 13.54 states/eV/f.u.
calculated total energy = -4.22 eV per atom
ΔE to the lowest computed polymorph = 24 meV/atom
formation energy = -1.4 eV per formula unit

This record from Alexandria via LeMat-Bulk describes a relaxed structure of Ho2AlCd3. The functional is PBE.

Geometry as POSCAR:
```
Ho2AlCd3
1.0
-3.8965 2.7109 -3.5999
-5.3102 0.1370 2.6969
6.5520 5.9728 3.9125
Ho Al Cd
4 2 6
direct
0.7500 0.2500 0.5000
0.7512 0.2488 0.0000
0.2500 0.7500 0.5000
0.2488 0.7512 0.0000
0.6665 0.6665 0.3329
0.3335 0.3335 0.6671
0.8298 0.8298 0.1692
0.6606 0.6606 0.8308
0.1702 0.1702 0.8308
0.3394 0.3394 0.1692
0.1696 0.1696 0.3392
0.8304 0.8304 0.6608
```

Properties
DOS(E_F) = 4.15 states/eV/f.u.
calculated total energy = -2.94 eV per atom
formation energy = -2.0 eV per formula unit

This record from Alexandria via LeMat-Bulk describes a relaxed structure of Ho3AlCd2. The functional is PBE.

Geometry as POSCAR:
```
Ho3AlCd2
1.0
5.2070 0.0000 0.0000
-2.6035 4.5094 0.0000
0.0000 0.0000 6.3966
Ho Al Cd
3 1 2
direct
0.0000 0.0000 0.5000
0.6667 0.3333 0.8416
0.3333 0.6667 0.1584
0.0000 0.0000 0.0000
0.6667 0.3333 0.3408
0.3333 0.6667 0.6592
```

Properties
DOS(E_F) = 6.52 states/eV/f.u.
calculated total energy = -3.55 eV per atom
ΔE to the lowest computed polymorph = 6 meV/atom
formation energy = -2.0 eV per formula unit

This record from Alexandria via LeMat-Bulk describes a relaxed structure of Ho3AlCd. The functional is PBE.

Geometry as POSCAR:
```
Ho3AlCd
1.0
-0.0347 3.8841 -2.6724
-5.3573 -2.3350 -3.3241
-5.4374 4.0319 5.9308
Ho Al Cd
6 2 2
direct
0.7500 0.7500 0.0662
0.2500 0.2500 0.9338
0.7500 0.9924 0.7219
0.7500 0.5076 0.7219
0.2500 0.0076 0.2781
0.2500 0.4924 0.2781
0.7500 0.2500 0.1306
0.2500 0.7500 0.8694
0.7500 0.7500 0.4204
0.2500 0.2500 0.5796
```

Properties
DOS(E_F) = 3.40 states/eV/f.u.
calculated total energy = -3.78 eV per atom
ΔE to the lowest computed polymorph = 166 meV/atom
formation energy = -0.5 eV per formula unit

This record from Alexandria via LeMat-Bulk describes a relaxed structure of Ho3Al2Cd2. The functional is PBE.

Geometry as POSCAR:
```
Ho3Al2Cd2
1.0
4.3743 0.0000 0.5805
0.0000 3.4708 0.0000
0.7556 0.0000 11.0773
Ho Al Cd
3 2 2
direct
0.8386 0.0000 0.3228
0.0000 0.0000 0.0000
0.1614 0.0000 0.6772
0.7180 0.5000 0.5640
0.2820 0.5000 0.4360
0.5798 0.5000 0.8404
0.4202 0.5000 0.1596
```

Properties
DOS(E_F) = 5.60 states/eV/f.u.
calculated total energy = -3.66 eV per atom
formation energy = -2.6 eV per formula unit

This record from Alexandria via LeMat-Bulk describes a relaxed structure of Ho8Al2Cd. The functional is PBE.

Geometry as POSCAR:
```
Ho8Al2Cd
1.0
-2.8431 -3.5286 -2.2126
4.7143 -0.4630 -5.3193
4.1090 -4.1655 7.1098
Ho Al Cd
8 2 1
direct
0.4044 0.5328 0.8088
0.6661 0.9488 0.3321
0.8051 0.7118 0.6102
0.9741 0.2451 0.9481
0.1949 0.2882 0.3898
0.3339 0.0512 0.6679
0.5956 0.4672 0.1912
0.0259 0.7549 0.0519
0.8066 0.2884 0.6131
0.1934 0.7116 0.3869
0.5000 0.0000 0.0000
```

Properties
DOS(E_F) = 11.97 states/eV/f.u.
calculated total energy = -4.25 eV per atom
ΔE to the lowest computed polymorph = 0 meV/atom
formation energy = -1.7 eV per formula unit

This record from Alexandria via LeMat-Bulk describes a relaxed structure of Ho5Al3Cd. The functional is PBE.

Geometry as POSCAR:
```
Ho5Al3Cd
1.0
6.4589 0.0000 0.0000
0.0000 9.0228 0.0000
0.0000 -4.5114 7.8139
Ho Al Cd
10 6 2
direct
0.0000 0.6667 0.3333
0.5000 0.3333 0.6667
0.0000 0.3333 0.6667
0.5000 0.6667 0.3333
0.7500 0.6990 0.6990
0.7500 0.0000 0.3010
0.7500 0.3010 0.0000
0.2500 0.3010 0.3010
0.2500 0.0000 0.6990
0.2500 0.6990 0.0000
0.7500 0.3636 0.3636
0.7500 0.0000 0.6364
0.7500 0.6364 0.0000
0.2500 0.6364 0.6364
0.2500 0.0000 0.3636
0.2500 0.3636 0.0000
0.0000 0.0000 0.0000
0.5000 0.0000 0.0000
```

Properties
DOS(E_F) = 6.69 states/eV/f.u.
calculated total energy = -4.20 eV per atom
formation energy = -2.7 eV per formula unit

This record from Alexandria via LeMat-Bulk describes a relaxed structure of Ho4Al3Cd. The functional is PBE.

Geometry as POSCAR:
```
Ho4Al3Cd
1.0
3.5837 0.0000 0.0000
0.0000 3.5837 0.0000
0.0000 0.0000 14.7537
Cd Ho Al
1 4 3
direct
0.5000 0.5000 0.0000
0.0000 0.0000 0.8634
0.0000 0.0000 0.1366
0.0000 0.0000 0.3793
0.0000 0.0000 0.6207
0.5000 0.5000 0.2569
0.5000 0.5000 0.5000
0.5000 0.5000 0.7431
```

Properties
DOS(E_F) = 3.58 states/eV/f.u.
calculated total energy = -4.19 eV per atom
ΔE to the lowest computed polymorph = 0 meV/atom
formation energy = -3.0 eV per formula unit

This record from Alexandria via LeMat-Bulk describes a relaxed structure of Ho5Al2Cd2. The functional is PBE.

Geometry as POSCAR:
```
Ho5Al2Cd2
1.0
7.6324 0.0000 0.0000
0.0000 7.6951 0.0000
0.0000 -3.8475 8.2351
Ho Al Cd
10 4 4
direct
0.0000 0.0000 0.0000
0.5000 0.5000 0.0000
0.8221 0.8158 0.2624
0.1779 0.4466 0.2624
0.3221 0.9466 0.2624
0.6779 0.3158 0.2624
0.1779 0.1842 0.7376
0.8221 0.5534 0.7376
0.6779 0.0534 0.7376
0.3221 0.6842 0.7376
0.6196 0.8811 0.0000
0.3804 0.1189 0.0000
0.1196 0.6189 0.0000
0.8804 0.3811 0.0000
0.0000 0.2189 0.4379
0.5000 0.7189 0.4379
0.0000 0.7811 0.5621
0.5000 0.2811 0.5621
```

Properties
DOS(E_F) = 7.01 states/eV/f.u.
calculated total energy = -3.85 eV per atom
formation energy = -2.4 eV per formula unit

This record from Alexandria via LeMat-Bulk describes a relaxed structure of Ho3AlCd2. The functional is PBE.

Geometry as POSCAR:
```
Ho3AlCd2
1.0
-1.7891 1.8847 2.5675
-2.0336 -2.9423 0.7429
7.5260 -3.2712 7.6456
Ho Al Cd
3 1 2
direct
0.0000 0.0000 0.0000
0.0000 0.0000 0.6570
0.0000 0.0000 0.3430
0.5000 0.5000 0.5000
0.5000 0.5000 0.8298
0.5000 0.5000 0.1702
```

Properties
DOS(E_F) = 5.87 states/eV/f.u.
calculated total energy = -3.56 eV per atom
ΔE to the lowest computed polymorph = 0 meV/atom
formation energy = -2.1 eV per formula unit

This record from Alexandria via LeMat-Bulk describes a relaxed structure of Ho6AlCd2. The functional is PBE.

Geometry as POSCAR:
```
Ho6AlCd2
1.0
-6.6806 -4.3723 3.3886
-1.3071 0.4628 -8.5620
7.4404 -4.0700 1.8181
Ho Al Cd
12 2 4
direct
0.5638 0.7408 0.8231
0.4362 0.2592 0.1769
0.0823 0.2592 0.8231
0.9177 0.7408 0.1769
0.8054 0.7434 0.5489
0.1946 0.2566 0.4511
0.1946 0.7434 0.9380
0.8054 0.2566 0.0620
0.7376 0.4108 0.6732
0.2624 0.5892 0.3268
0.2624 0.9356 0.6732
0.7376 0.0644 0.3268
0.0000 0.5000 0.5000
0.0000 0.0000 0.0000
0.5000 0.3597 0.8597
0.5000 0.6403 0.1403
0.6417 0.0000 0.6417
0.3583 0.0000 0.3583
```

Properties
DOS(E_F) = 9.21 states/eV/f.u.
calculated total energy = -3.84 eV per atom
formation energy = -1.5 eV per formula unit

This record from Alexandria via LeMat-Bulk describes a relaxed structure of Ho2Al2Cd. The functional is PBE.

Geometry as POSCAR:
```
Ho2Al2Cd
1.0
-2.9131 0.7475 1.8163
2.1578 -0.8601 3.8148
0.9800 7.4418 -1.4911
Ho Al Cd
2 2 1
direct
0.5000 0.6220 0.2440
0.5000 0.3780 0.7560
0.0000 0.2024 0.4048
0.0000 0.7976 0.5952
0.0000 0.0000 0.0000
```

Properties
DOS(E_F) = 3.83 states/eV/f.u.
calculated total energy = -3.91 eV per atom
formation energy = -2.0 eV per formula unit

This record from Alexandria via LeMat-Bulk describes a relaxed structure of Ho8AlCd2. The functional is PBE.

Geometry as POSCAR:
```
Ho8AlCd2
1.0
-3.5828 3.7897 -0.1673
-5.0870 -4.8124 -0.0728
3.4668 0.0651 8.6024
Ho Al Cd
8 1 2
direct
0.4078 0.5452 0.8157
0.6636 0.9635 0.3272
0.8055 0.7071 0.6110
0.9785 0.2290 0.9570
0.1945 0.2929 0.3890
0.3364 0.0365 0.6728
0.5922 0.4548 0.1843
0.0215 0.7710 0.0430
0.5000 0.0000 0.0000
0.8154 0.2900 0.6307
0.1846 0.7100 0.3693
```

Properties
DOS(E_F) = 9.51 states/eV/f.u.
calculated total energy = -3.98 eV per atom
formation energy = -1.5 eV per formula unit

This record from Alexandria via LeMat-Bulk describes a relaxed structure of Ho12Al2Cd5. The functional is PBE.

Geometry as POSCAR:
```
Ho12Al2Cd5
1.0
10.3724 0.0000 0.0000
-5.1862 6.0283 1.6768
0.0000 -0.4317 8.0923
Ho Al Cd
12 2 5
direct
0.8709 0.7418 0.1341
0.0233 0.6568 0.8075
0.6336 0.6568 0.8075
0.1562 0.7903 0.3820
0.6341 0.7903 0.3820
0.4201 0.8401 0.7114
0.5799 0.1599 0.2886
0.8438 0.2097 0.6180
0.3659 0.2097 0.6180
0.9767 0.3432 0.1925
0.3664 0.3432 0.1925
0.1291 0.2582 0.8659
0.7239 0.0000 0.0000
0.2761 0.0000 0.0000
0.2433 0.4866 0.4792
0.3643 0.7287 0.1035
0.0000 0.0000 0.5000
0.6357 0.2713 0.8965
0.7567 0.5134 0.5208
```

Properties
DOS(E_F) = 22.83 states/eV/f.u.
calculated total energy = -3.68 eV per atom
formation energy = -2.9 eV per formula unit

This record from Alexandria via LeMat-Bulk describes a relaxed structure of Ho4AlCd3. The functional is PBE.

Geometry as POSCAR:
```
Ho4AlCd3
1.0
3.6737 0.0000 0.0000
0.0000 3.6737 0.0000
0.0000 0.0000 14.9327
Cd Ho Al
3 4 1
direct
0.5000 0.5000 0.2450
0.5000 0.5000 0.5000
0.5000 0.5000 0.7550
0.0000 0.0000 0.8827
0.0000 0.0000 0.1173
0.0000 0.0000 0.3721
0.0000 0.0000 0.6279
0.5000 0.5000 0.0000
```

Properties
DOS(E_F) = 6.91 states/eV/f.u.
calculated total energy = -3.44 eV per atom
ΔE to the lowest computed polymorph = 0 meV/atom
formation energy = -2.7 eV per formula unit

This record from Alexandria via LeMat-Bulk describes a relaxed structure of HoAlCd2. The functional is PBE.

Geometry as POSCAR:
```
HoAlCd2
1.0
-3.1225 -3.2413 -2.2111
-3.0371 -2.8548 2.7877
-4.9389 0.8672 0.0173
Al Ho Cd
1 1 2
direct
0.0000 0.0000 0.0000
0.5000 0.5000 0.5000
0.2500 0.2500 0.2500
0.7500 0.7500 0.7500
```

Properties
DOS(E_F) = 0.87 states/eV/f.u.
calculated total energy = -2.70 eV per atom
ΔE to the lowest computed polymorph = 95 meV/atom
formation energy = -0.6 eV per formula unit

This record from Alexandria via LeMat-Bulk describes a relaxed structure of Ho3Al2Cd3. The functional is PBE.

Geometry as POSCAR:
```
Ho3Al2Cd3
1.0
-0.2669 -4.5301 -0.6852
4.8134 1.5693 3.1197
-7.9209 -1.4954 12.9732
Ho Al Cd
6 4 6
direct
0.9156 0.8312 0.3894
0.0844 0.1688 0.8894
0.9156 0.8312 0.1106
0.0844 0.1688 0.6106
0.6435 0.2869 0.2500
0.3565 0.7131 0.7500
0.7939 0.5877 0.8917
0.2061 0.4123 0.3917
0.7939 0.5877 0.6083
0.2061 0.4123 0.1083
0.6215 0.2430 0.4637
0.3785 0.7570 0.9637
0.6215 0.2430 0.0363
0.3785 0.7570 0.5363
0.3590 0.7179 0.2500
0.6410 0.2821 0.7500
```

Properties
DOS(E_F) = 5.04 states/eV/f.u.
calculated total energy = -3.30 eV per atom
formation energy = -2.5 eV per formula unit

This record from Alexandria via LeMat-Bulk describes a relaxed structure of Ho6AlCd. The functional is PBE.

Geometry as POSCAR:
```
Ho6AlCd
1.0
-3.4803 -1.8843 -2.6838
-2.1485 -1.6463 3.9421
-4.9595 8.1579 0.7038
Ho Al Cd
6 1 1
direct
0.5000 0.5000 0.0000
0.5000 0.5000 0.5000
0.5000 0.0000 0.2570
0.5000 0.0000 0.7430
0.0000 0.5000 0.2570
0.0000 0.5000 0.7430
0.0000 0.0000 0.5000
0.0000 0.0000 0.0000
```

Properties
DOS(E_F) = 12.19 states/eV/f.u.
calculated total energy = -4.15 eV per atom
ΔE to the lowest computed polymorph = 0 meV/atom
formation energy = -1.1 eV per formula unit

This record from Alexandria via LeMat-Bulk describes a relaxed structure of Ho6AlCd5. The functional is PBE.

Geometry as POSCAR:
```
Ho6AlCd5
1.0
-2.8691 1.0694 -4.2400
-6.1390 -2.0966 3.6253
-2.4444 7.9006 0.4298
Al Ho Cd
1 6 5
direct
0.0000 0.0000 0.0000
0.8363 0.7530 0.3277
0.8363 0.2470 0.3277
0.5000 0.2434 0.0000
0.5000 0.7566 0.0000
0.1637 0.7530 0.6723
0.1637 0.2470 0.6723
0.6668 0.5000 0.6664
0.3313 0.0000 0.3379
0.0000 0.5000 0.0000
0.6687 0.0000 0.6621
0.3332 0.5000 0.3336
```

Properties
DOS(E_F) = 11.80 states/eV/f.u.
calculated total energy = -3.31 eV per atom
formation energy = -4.0 eV per formula unit

This record from Alexandria via LeMat-Bulk describes a relaxed structure of Ho6Al5Cd. The functional is PBE.

Geometry as POSCAR:
```
Ho6Al5Cd
1.0
4.8587 -0.0289 1.6192
0.0384 7.1711 0.0128
-0.0001 -0.0145 8.0995
Cd Ho Al
1 6 5
direct
0.0000 0.0000 0.0000
0.8313 0.7484 0.3374
0.8313 0.2516 0.3374
0.5000 0.2542 0.0000
0.5000 0.7458 0.0000
0.1687 0.7484 0.6626
0.1687 0.2516 0.6626
0.6658 0.5000 0.6683
0.3360 0.0000 0.3280
0.0000 0.5000 0.0000
0.6640 0.0000 0.6720
0.3342 0.5000 0.3317
```

Properties
DOS(E_F) = 4.76 states/eV/f.u.
calculated total energy = -4.31 eV per atom
formation energy = -4.6 eV per formula unit

This record from Alexandria via LeMat-Bulk describes a relaxed structure of Ho3Al3Cd2. The functional is PBE.

Geometry as POSCAR:
```
Ho3Al3Cd2
1.0
-0.5026 -2.6012 -3.6848
3.2078 -2.7255 4.2813
-12.3936 -5.6575 5.6844
Ho Al Cd
6 6 4
direct
0.9237 0.8473 0.3848
0.0763 0.1527 0.8848
0.9237 0.8473 0.1152
0.0763 0.1527 0.6152
0.6513 0.3027 0.2500
0.3487 0.6973 0.7500
0.6006 0.2012 0.4557
0.3994 0.7988 0.9557
0.6006 0.2012 0.0443
0.3994 0.7988 0.5443
0.3642 0.7285 0.2500
0.6358 0.2715 0.7500
0.7842 0.5685 0.9050
0.2158 0.4315 0.4050
0.7842 0.5685 0.5950
0.2158 0.4315 0.0950
```

Properties
DOS(E_F) = 4.90 states/eV/f.u.
calculated total energy = -3.71 eV per atom
formation energy = -2.9 eV per formula unit